## NbCo2CuSe (PBE)

Data for a relaxed NbCo2CuSe crystal.

Cell: 4.269 4.269 4.794 Å, 90.00 90.00 90.00°
Sites, in units of the cell vectors:
1 Nb 0.000 0.000 0.000
2 Co 0.000 0.500 0.500
3 Co 0.500 0.000 0.500
4 Cu 0.500 0.500 0.000
5 Se 0.000 0.000 0.500

Calculated values
Uncorrected formation energy   0.756 eV per atom
N(E_F)   1.5288 states/eV/atom
Symmetry   P4/mmm

---

## NbCoCu2Se (PBE)

Data for a relaxed NbCoCu2Se crystal.

Cell: 4.362 4.362 4.866 Å, 90.00 90.00 90.00°
Sites, in units of the cell vectors:
1 Nb 0.000 0.000 0.000
2 Co 0.500 0.500 0.000
3 Cu 0.000 0.500 0.500
4 Cu 0.500 0.000 0.500
5 Se 0.000 0.000 0.500

Calculated values
Uncorrected formation energy   0.923 eV per atom
N(E_F)   1.4342 states/eV/atom
Symmetry   P4/mmm

---

## NbCoCuSn (PBE)

Data for a relaxed NbCoCuSn crystal.

Cell: 4.414 4.414 4.414 Å, 60.00 60.00 60.00°
Sites, in units of the cell vectors:
1 Nb 0.000 0.000 0.000
2 Co 0.750 0.750 0.750
3 Cu 0.250 0.250 0.250
4 Sn 0.500 0.500 0.500

Calculated values
N(E_F)   0.7517 states/eV/atom
Symmetry   F-43m
Formation energy from the elements   -1.18 kJ per mole of atoms

---

## TaNbCo2Cu (PBE)

Data for a relaxed TaNbCo2Cu crystal.

Cell: 4.350 4.350 4.652 Å, 90.00 90.00 90.00°
Sites, in units of the cell vectors:
1 Ta 0.000 0.000 0.000
2 Nb 0.500 0.500 0.500
3 Co 0.000 0.500 0.000
4 Co 0.500 0.000 0.000
5 Cu 0.000 0.000 0.500

Calculated values
N(E_F)   1.1205 states/eV/atom
Symmetry   P4/mmm
Formation energy from the elements   130.80 kJ per mole of atoms

---

## NbCoCu2Tc (PBE)

Data for a relaxed NbCoCu2Tc crystal.

Cell: 4.644 4.644 4.561 Å, 90.00 90.00 90.00°
Sites, in units of the cell vectors:
1 Nb 0.000 0.000 0.000
2 Co 0.500 0.500 0.000
3 Cu 0.000 0.500 0.500
4 Cu 0.500 0.000 0.500
5 Tc 0.000 0.000 0.500

Calculated values
N(E_F)   1.3120 states/eV/atom
Symmetry   P4/mmm
Formation energy from the elements   148.02 kJ per mole of atoms

---

## NbZnCoCu (PBE)

Data for a relaxed NbZnCoCu crystal.

Cell: 4.256 4.256 4.256 Å, 60.00 60.00 60.00°
Sites, in units of the cell vectors:
1 Nb 0.000 0.000 0.000
2 Zn 0.500 0.500 0.500
3 Co 0.750 0.750 0.750
4 Cu 0.250 0.250 0.250

Calculated values
N(E_F)   0.8759 states/eV/atom
Symmetry   F-43m
Formation energy from the elements   -2.94 kJ per mole of atoms

---

Question: Which value of N(E_F) does entry 6 give?
Answer: 0.8759 states/eV/atom

---

Question: Among the records above, which one has the highest N(E_F)?
Answer: NbCo2CuSe